# 1
First-principles (GGA-PBE) data for a relaxed MgScGa4Pd2 crystal, as listed in Alexandria.

Unit cell a=3.758 b=3.758 c=10.715 alpha=90.00 beta=90.00 gamma=90.00
Fractional coordinates of all 8 atoms:
Mg (0.000, 0.000, 0.000)
Sc (0.000, 0.000, 0.500)
Ga (0.000, 0.500, 0.293)
Ga (0.000, 0.500, 0.707)
Ga (0.500, 0.000, 0.293)
Ga (0.500, 0.000, 0.707)
Pd (0.500, 0.500, 0.124)
Pd (0.500, 0.500, 0.876)

Results
DOS at the Fermi energy: 0.48 states/eV per atom
Calculated formation energy: -0.39 eV/atom

# 2
First-principles (GGA-PBE) data for a relaxed Hf5Co2Ir crystal, as listed in Alexandria.

Unit cell a=8.202 b=8.202 c=8.202 alpha=133.08 beta=132.97 gamma=68.61
Fractional coordinates of all 16 atoms:
Hf (0.000, 0.000, 0.000)
Hf (0.025, 0.525, 0.841)
Hf (0.183, 0.025, 0.500)
Hf (0.317, 0.817, 0.841)
Hf (0.475, 0.317, 0.500)
Hf (0.500, 0.500, 0.000)
Hf (0.525, 0.683, 0.500)
Hf (0.683, 0.183, 0.159)
Hf (0.817, 0.975, 0.500)
Hf (0.975, 0.475, 0.159)
Co (0.132, 0.369, 0.500)
Co (0.368, 0.869, 0.237)
Co (0.632, 0.131, 0.763)
Co (0.868, 0.631, 0.500)
Ir (0.250, 0.250, 0.000)
Ir (0.750, 0.750, 0.000)

Results
DOS at the Fermi energy: 1.07 states/eV per atom
Calculated formation energy: -0.49 eV/atom

# 3
First-principles (GGA-PBE) data for a relaxed KTiGe3 crystal, as listed in Alexandria.

Unit cell a=5.187 b=5.187 c=5.187 alpha=90.00 beta=90.00 gamma=90.00
Fractional coordinates of all 5 atoms:
K (0.000, 0.000, 0.000)
Ti (0.500, 0.500, 0.500)
Ge (0.000, 0.000, 0.500)
Ge (0.000, 0.500, 0.000)
Ge (0.500, 0.000, 0.000)

Results
DOS at the Fermi energy: 1.54 states/eV per atom
Calculated formation energy: 1.75 eV/atom

# 4
First-principles (GGA-PBE) data for a relaxed LiTe2I crystal, as listed in Alexandria.

Unit cell a=6.820 b=6.820 c=6.820 alpha=47.94 beta=47.94 gamma=47.94
Fractional coordinates of all 4 atoms:
Li (0.000, 0.000, 0.000)
Te (0.334, 0.334, 0.334)
Te (0.666, 0.666, 0.666)
I (0.500, 0.500, 0.500)

Results
DOS at the Fermi energy: 0.48 states/eV per atom
Energy relative to the elements, uncorrected: -3.4 kcal/mol of atoms

# 5
First-principles (GGA-PBE) data for a relaxed Th8Te4As3P crystal, as listed in Alexandria.

Unit cell a=8.882 b=8.882 c=8.882 alpha=57.44 beta=57.44 gamma=57.44
Fractional coordinates of all 16 atoms:
Th (0.240, 0.240, 0.240)
Th (0.248, 0.733, 0.733)
Th (0.267, 0.267, 0.752)
Th (0.267, 0.752, 0.267)
Th (0.733, 0.248, 0.733)
Th (0.733, 0.733, 0.248)
Th (0.752, 0.267, 0.267)
Th (0.760, 0.760, 0.760)
Te (0.000, 0.000, 0.000)
Te (0.000, 0.500, 0.500)
Te (0.500, 0.000, 0.500)
Te (0.500, 0.500, 0.000)
As (0.000, 0.000, 0.500)
As (0.000, 0.500, 0.000)
As (0.500, 0.000, 0.000)
P (0.500, 0.500, 0.500)

Results
DOS at the Fermi energy: 0.60 states/eV per atom
Energy relative to the elements, uncorrected: -29.5 kcal/mol of atoms

# 6
First-principles (GGA-PBE) data for a relaxed PaMn2V crystal, as listed in Alexandria.

Unit cell a=4.629 b=4.629 c=4.629 alpha=55.81 beta=55.81 gamma=55.81
Fractional coordinates of all 4 atoms:
Pa (0.000, 0.000, 0.000)
Mn (0.202, 0.202, 0.202)
Mn (0.798, 0.798, 0.798)
V (0.500, 0.500, 0.500)

Results
DOS at the Fermi energy: 1.23 states/eV per atom
Calculated formation energy: 0.08 eV/atom

# 7
First-principles (GGA-PBE) data for a relaxed K2TmSnS4 crystal, as listed in Alexandria.

Unit cell a=7.022 b=3.993 c=7.707 alpha=90.00 beta=107.17 gamma=90.00
Fractional coordinates of all 8 atoms:
K (0.000, 0.000, 0.000)
K (0.500, 0.500, 0.000)
Tm (0.000, 0.500, 0.500)
Sn (0.500, 0.000, 0.500)
S (0.230, 0.000, 0.699)
S (0.261, 0.500, 0.300)
S (0.739, 0.500, 0.700)
S (0.770, 0.000, 0.301)

Results
DOS at the Fermi energy: 0.36 states/eV per atom
Energy relative to the elements, uncorrected: -30.1 kcal/mol of atoms

# 8
First-principles (GGA-PBE) data for a relaxed Y2Tm3Se4 crystal, as listed in Alexandria.

Unit cell a=3.945 b=3.945 c=16.608 alpha=90.02 beta=90.02 gamma=60.01
Fractional coordinates of all 9 atoms:
Y (0.167, 0.167, 0.209)
Y (0.833, 0.833, 0.791)
Tm (0.166, 0.166, 0.581)
Tm (0.500, 0.500, 0.000)
Tm (0.834, 0.834, 0.419)
Se (0.166, 0.166, 0.899)
Se (0.499, 0.499, 0.687)
Se (0.501, 0.501, 0.313)
Se (0.834, 0.834, 0.101)

Results
DOS at the Fermi energy: 0.67 states/eV per atom
Energy relative to the elements, uncorrected: -34.9 kcal/mol of atoms

# 9
First-principles (GGA-PBE) data for a relaxed HfNbNi14 crystal, as listed in Alexandria.

Unit cell a=5.143 b=5.143 c=7.149 alpha=90.00 beta=90.00 gamma=90.00
Fractional coordinates of all 16 atoms:
Hf (0.000, 0.000, 0.000)
Nb (0.500, 0.500, 0.000)
Ni (0.000, 0.000, 0.500)
Ni (0.000, 0.500, 0.000)
Ni (0.000, 0.500, 0.500)
Ni (0.252, 0.252, 0.262)
Ni (0.252, 0.252, 0.738)
Ni (0.252, 0.748, 0.262)
Ni (0.252, 0.748, 0.738)
Ni (0.500, 0.000, 0.000)
Ni (0.500, 0.000, 0.500)
Ni (0.500, 0.500, 0.500)
Ni (0.748, 0.252, 0.262)
Ni (0.748, 0.252, 0.738)
Ni (0.748, 0.748, 0.262)
Ni (0.748, 0.748, 0.738)

Results
DOS at the Fermi energy: 1.74 states/eV per atom
Calculated formation energy: -0.17 eV/atom

# 10
First-principles (GGA-PBE) data for a relaxed Fe3Ag crystal, as listed in Alexandria.

Unit cell a=2.607 b=2.607 c=8.455 alpha=90.00 beta=90.00 gamma=110.13
Fractional coordinates of all 4 atoms:
Fe (0.000, 0.000, 0.000)
Fe (0.500, 0.500, 0.228)
Fe (0.500, 0.500, 0.772)
Ag (0.000, 0.000, 0.500)

Results
DOS at the Fermi energy: 0.73 states/eV per atom
Calculated formation energy: 0.24 eV/atom

# 11
First-principles (GGA-PBE) data for a relaxed Ni2PbW crystal, as listed in Alexandria.

Unit cell a=3.065 b=3.065 c=6.769 alpha=90.00 beta=90.00 gamma=90.00
Fractional coordinates of all 4 atoms:
Ni (0.000, 0.000, 0.000)
Ni (0.500, 0.500, 0.193)
Pb (0.000, 0.000, 0.467)
W (0.500, 0.500, 0.809)

Results
DOS at the Fermi energy: 0.91 states/eV per atom
Calculated formation energy: 0.45 eV/atom

# 12
First-principles (GGA-PBE) data for a relaxed BaCaHf4O12 crystal, as listed in Alexandria.

Unit cell a=8.205 b=5.834 c=5.834 alpha=89.99 beta=90.00 gamma=90.00
Fractional coordinates of all 18 atoms:
Ba (0.000, 0.000, 0.000)
Ca (0.500, 0.460, 0.460)
Hf (0.255, 0.491, 0.976)
Hf (0.255, 0.976, 0.491)
Hf (0.745, 0.491, 0.976)
Hf (0.745, 0.976, 0.491)
O (0.000, 0.503, 0.971)
O (0.000, 0.971, 0.503)
O (0.240, 0.251, 0.251)
O (0.251, 0.213, 0.756)
O (0.251, 0.756, 0.213)
O (0.298, 0.696, 0.696)
O (0.500, 0.051, 0.466)
O (0.500, 0.466, 0.051)
O (0.702, 0.696, 0.696)
O (0.749, 0.213, 0.756)
O (0.749, 0.756, 0.213)
O (0.760, 0.251, 0.251)

Results
DOS at the Fermi energy: 0.50 states/eV per atom
Energy relative to the elements, uncorrected: -64.1 kcal/mol of atoms